# 1
Entry from Alexandria: crystalline Tb6Pr3Y2Ho at its relaxed geometry (PBE).

CIF file:
```
data_Tb6Pr3Y2Ho
_cell_length_a 6.239
_cell_length_b 10.807
_cell_length_c 11.919
_cell_angle_alpha 90.00
_cell_angle_beta 100.03
_cell_angle_gamma 90.00
_space_group_name_H-M_alt 'C 1 2/m 1'
_space_group_IT_number 12
loop_
_space_group_symop_operation_xyz
'x,y,z'
'-x,-y,-z'
'-x,y,-z'
'x,-y,z'
'x+1/2,y+1/2,z'
'-x+1/2,-y+1/2,-z'
'-x+1/2,y+1/2,-z'
'x+1/2,-y+1/2,z'
loop_
_atom_site_label
_atom_site_fract_x
_atom_site_fract_y
_atom_site_fract_z
Tb1 0.249 0.166 0.246
Tb2 0.250 0.000 0.754
Pr1 0.000 0.167 0.500
Pr2 0.000 0.500 0.500
Y1 0.000 0.333 0.000
Ho1 0.000 0.000 0.000
```


# 2
Entry from Alexandria: crystalline YTaRe2 at its relaxed geometry (PBE).

CIF file:
```
data_YTaRe2
_cell_length_a 3.237
_cell_length_b 4.569
_cell_length_c 4.827
_cell_angle_alpha 90.00
_cell_angle_beta 90.00
_cell_angle_gamma 90.00
_space_group_name_H-M_alt 'P m m m'
_space_group_IT_number 47
loop_
_space_group_symop_operation_xyz
'x,y,z'
'-x,-y,-z'
'-x,-y,z'
'x,y,-z'
'x,-y,-z'
'-x,y,z'
'-x,y,-z'
'x,-y,z'
loop_
_atom_site_label
_atom_site_fract_x
_atom_site_fract_y
_atom_site_fract_z
Y1 0.000 0.000 0.000
Ta1 0.500 0.000 0.500
Re1 0.000 0.500 0.500
Re2 0.500 0.500 0.000
```


# 3
Entry from Alexandria: crystalline HoZn8Ni4 at its relaxed geometry (PBE).

CIF file:
```
data_HoZn8Ni4
_cell_length_a 8.555
_cell_length_b 8.555
_cell_length_c 5.062
_cell_angle_alpha 90.00
_cell_angle_beta 90.00
_cell_angle_gamma 90.00
_space_group_name_H-M_alt 'I 4/m m m'
_space_group_IT_number 139
_space_group_name_Hall '-I 4 2'
loop_
_atom_site_label
_atom_site_fract_x
_atom_site_fract_y
_atom_site_fract_z
Ho1 0.000 0.000 0.000
Zn1 0.000 0.222 0.500
Zn2 0.000 0.341 0.000
Ni1 0.250 0.250 0.250
```


no.,energy of formation (eV per atom)
1,0.02
2,0.35
3,-0.30